No. 1
This record from Alexandria via LeMat-Bulk describes a relaxed structure of ThNpNi17. The functional is PBE-GGA.

Cell: 8.3011 8.3011 12.0929 Å, 90.00 90.00 120.00°
Last column: nearest neighbours and their distance in Å.
Space group R3m (No. 160, hexagonal axes)
Symmetry-distinct sites (fractional):
Th (0.0000, 0.0000, 0.0000)  19 Ni 2.91-3.18
Np (0.0000, 0.0000, 0.3263)  16 Ni 2.83-3.13
Ni (0.0000, 0.0000, 0.5603)  7 Ni 2.40-2.57
Ni (0.0000, 0.0000, 0.7590)  7 Ni 2.40-2.62
Ni (0.0011, 0.5006, 0.1607)  10 Ni 2.37-2.54
Ni (0.0385, 0.3705, 0.3277)  8 Ni 2.37-2.53
Ni (0.1672, 0.3345, 0.1483)  9 Ni 2.39-2.57
Ni (0.1683, 0.3365, 0.8416)  9 Ni 2.41-2.62

size of the total moment	2.49	μB per formula unit
formation energy from the elements	-0.1540	eV per atom
final energy	-6.3984	eV per atom



No. 2
This record from Alexandria via LeMat-Bulk describes a relaxed structure of TbPm2Te. The functional is PBE-GGA.

Cell: 3.9504 3.9504 8.0007 Å, 90.00 90.00 90.00°
Last column: nearest neighbours and their distance in Å.
Space group P4/mmm (No. 123)
Symmetry-distinct sites (fractional):
Tb (0.0000, 0.0000, 0.0000)  8 Pm 3.56, 4 Tb 3.95
Pm (0.5000, 0.5000, 0.2765)  4 Te 3.32, 4 Tb 3.56, 1 Pm 3.58
Te (0.0000, 0.0000, 0.5000)  8 Pm 3.32

polymorph energy (0 for the lowest one)	0.000	eV/f.u.
size of the total moment	0.00	μB per formula unit
uncorrected formation energy	-0.58	eV per atom
final energy	-4.8951	eV per atom



No. 3
This record from Alexandria via LeMat-Bulk describes a relaxed structure of Cs2Pb2Au. The functional is PBE-GGA.

Cell: 15.2650 4.4654 13.6273 Å, 90.00 115.27 90.00°
Last column: nearest neighbours and their distance in Å.
Space group C2/m (No. 12)
Symmetry-distinct sites (fractional):
Cs (0.0205, 0.0000, 0.1575)  2 Au 3.61, 2 Pb 3.94
Cs (0.2074, 0.0000, 0.6238)  2 Au 3.74, 5 Pb 3.93-4.01
Pb (0.0168, 0.5000, 0.3940)  1 Au 2.86, 1 Pb 3.14
Pb (0.2159, 0.5000, 0.0604)  3 Au 3.03-3.13, 2 Pb 3.20
Au (0.1506, 0.5000, 0.8091)  4 Pb 2.86-3.13

polymorph energy (0 for the lowest one)	0.000	eV/f.u.
size of the total moment	0.00	μB per formula unit
formation energy from the elements	-0.1684	eV per atom
final energy	-2.6486	eV per atom



No. 4
This record from Alexandria via LeMat-Bulk describes a relaxed structure of SrEuCuPd. The functional is PBE-GGA.

Cell: 7.3921 7.3921 7.3921 Å, 90.00 90.00 90.00°
Last column: nearest neighbours and their distance in Å.
Space group F-43m (No. 216)
Symmetry-distinct sites (fractional):
Sr (0.0000, 0.0000, 0.0000)  4 Cu 3.20, 4 Pd 3.20
Eu (0.0000, 0.0000, 0.5000)  4 Cu 3.20, 4 Pd 3.20
Cu (0.2500, 0.2500, 0.2500)  4 Sr 3.20, 4 Eu 3.20
Pd (0.2500, 0.2500, 0.7500)  4 Sr 3.20, 4 Eu 3.20

size of the total moment	7.34	μB per formula unit
formation energy from the elements	-0.3154	eV per atom
final energy	-5.6267	eV per atom



No. 5
This record from Alexandria via LeMat-Bulk describes a relaxed structure of TbSm4Y4. The functional is PBE-GGA.

Cell: 5.0911 6.2199 10.7829 Å, 73.26 76.36 65.90°
Last column: nearest neighbours and their distance in Å.
Space group P-1 (No. 2)
Symmetry-distinct sites (fractional):
Tb (0.0000, 0.0000, 0.0000)  8 Sm 3.59-3.60, 4 Y 3.60
Sm (0.9996, 0.3337, 0.6674)  8 Y 3.58-3.60, 1 Tb 3.59, 3 Sm 3.59-3.61
Sm (0.3332, 0.4447, 0.8892)  3 Tb 3.59-3.60, 4 Sm 3.59, 5 Y 3.60
Y (0.3330, 0.1111, 0.2225)  7 Sm 3.58-3.60, 3 Y 3.59-3.60, 2 Tb 3.60
Y (0.3341, 0.7771, 0.5549)  6 Y 3.58-3.60, 6 Sm 3.59-3.60

polymorph energy (0 for the lowest one)	0.000	eV/f.u.
size of the total moment	0.00	μB per formula unit
formation energy from the elements	0.0160	eV per atom
final energy	-5.4688	eV per atom



No. 6
This record from Alexandria via LeMat-Bulk describes a relaxed structure of Li2CoRh. The functional is PBE-GGA.

Cell: 4.1419 4.1419 5.8173 Å, 90.00 90.00 90.00°
Last column: nearest neighbours and their distance in Å.
Space group I-4m2 (No. 119)
Symmetry-distinct sites (fractional):
Li (0.0000, 0.0000, 0.0000)  4 Li 2.53, 4 Rh 2.53
Li (0.0000, 0.5000, 0.2500)  4 Li 2.53, 4 Co 2.53
Co (0.0000, 0.0000, 0.5000)  4 Li 2.53, 4 Rh 2.53
Rh (0.0000, 0.5000, 0.7500)  4 Li 2.53, 4 Co 2.53

polymorph energy (0 for the lowest one)	0.093	eV/f.u.
size of the total moment	2.39	μB per formula unit
formation energy from the elements	-0.0130	eV per atom
final energy	-4.5843	eV per atom



No. 7
This record from Alexandria via LeMat-Bulk describes a relaxed structure of K3Pm2NdO6. The functional is PBE-GGA.

Cell: 6.2745 10.8677 6.6421 Å, 90.00 108.36 90.00°
Last column: nearest neighbours and their distance in Å.
Space group C2/m (No. 12)
Symmetry-distinct sites (fractional):
K (0.0000, 0.0000, 0.0000)  6 O 2.85-2.87
K (0.0000, 0.3329, 0.0000)  6 O 2.85-2.87
Pm (0.0000, 0.1667, 0.5000)  6 O 2.40-2.41
Nd (0.0000, 0.5000, 0.5000)  6 O 2.42
O (0.2280, 0.0000, 0.6904)  2 Pm 2.41, 1 Nd 2.42
O (0.2312, 0.3322, 0.6902)  2 Pm 2.40-2.41, 1 Nd 2.42

size of the total moment	0.00	μB per formula unit
uncorrected formation energy	-2.63	eV per atom
final energy	-6.5760	eV per atom



No. 8
This record from Alexandria via LeMat-Bulk describes a relaxed structure of ScMo2Rh. The functional is PBE-GGA.

Cell: 2.7840 4.5873 5.1966 Å, 90.00 90.00 90.00°
Last column: nearest neighbours and their distance in Å.
Space group Pmmm (No. 47)
Symmetry-distinct sites (fractional):
Sc (0.0000, 0.0000, 0.0000)  2 Rh 2.60, 2 Sc 2.78
Mo (0.5000, 0.5000, 0.2475)  4 Mo 2.57-2.78
Rh (0.0000, 0.0000, 0.5000)  2 Sc 2.60, 2 Rh 2.78

polymorph energy (0 for the lowest one)	1.039	eV/f.u.
size of the total moment	0.00	μB per formula unit
formation energy from the elements	0.0414	eV per atom
final energy	-8.7949	eV per atom



No. 9
This record from Alexandria via LeMat-Bulk describes a relaxed structure of CaLaGePt. The functional is PBE-GGA.

Cell: 7.2907 7.2907 7.2907 Å, 90.00 90.00 90.00°
Last column: nearest neighbours and their distance in Å.
Space group F-43m (No. 216)
Symmetry-distinct sites (fractional):
Ca (0.0000, 0.0000, 0.0000)  4 Ge 3.16, 4 Pt 3.16
La (0.0000, 0.0000, 0.5000)  4 Pt 3.16, 4 Ge 3.16
Ge (0.2500, 0.2500, 0.7500)  4 La 3.16, 4 Ca 3.16
Pt (0.2500, 0.2500, 0.2500)  4 La 3.16, 4 Ca 3.16

size of the total moment	0.00	μB per formula unit
formation energy from the elements	-0.8061	eV per atom
final energy	-5.2029	eV per atom



No. 10
This record from Alexandria via LeMat-Bulk describes a relaxed structure of Sm2YRh. The functional is PBE-GGA.

Cell: 3.6921 3.6921 31.8922 Å, 90.00 90.00 120.00°
Last column: nearest neighbours and their distance in Å.
Space group R-3m (No. 166, hexagonal axes)
Symmetry-distinct sites (fractional):
Sm (0.0000, 0.0000, 0.1102)  3 Rh 2.79
Y (0.0000, 0.0000, 0.0000)  2 Sm 3.51, 6 Y 3.69
Rh (0.0000, 0.0000, 0.5000)  6 Sm 2.79

polymorph energy (0 for the lowest one)	1.484	eV/f.u.
size of the total moment	0.56	μB per formula unit
formation energy from the elements	-0.1036	eV per atom
final energy	-5.9171	eV per atom



No. 11
This record from Alexandria via LeMat-Bulk describes a relaxed structure of TeRh2Se. The functional is PBE-GGA.

Cell: 4.5998 4.5998 3.2917 Å, 90.00 90.00 90.00°
Last column: nearest neighbours and their distance in Å.
Space group P4/mmm (No. 123)
Symmetry-distinct sites (fractional):
Te (0.0000, 0.0000, 0.0000)  8 Rh 2.83
Rh (0.0000, 0.5000, 0.5000)  4 Se 2.83, 4 Te 2.83
Se (0.5000, 0.5000, 0.0000)  8 Rh 2.83

polymorph energy (0 for the lowest one)	1.237	eV/f.u.
size of the total moment	0.00	μB per formula unit
uncorrected formation energy	0.03	eV per atom
final energy	-5.3041	eV per atom



No. 12
This record from Alexandria via LeMat-Bulk describes a relaxed structure of SmAl2ZnCu2. The functional is PBE-GGA.

Cell: 4.4468 4.4468 5.6242 Å, 90.00 90.00 90.00°
Last column: nearest neighbours and their distance in Å.
Space group P4/mmm (No. 123)
Symmetry-distinct sites (fractional):
Sm (0.0000, 0.0000, 0.0000)  2 Zn 2.81
Al (0.5000, 0.5000, 0.2411)  4 Cu 2.66, 2 Al 2.71-2.91
Zn (0.0000, 0.0000, 0.5000)  4 Cu 2.22
Cu (0.0000, 0.5000, 0.5000)  2 Zn 2.22

size of the total moment	0.00	μB per formula unit
formation energy from the elements	-0.1013	eV per atom
final energy	-3.7131	eV per atom



Q: size of the total moment of number 10 (Sm2YRh)?
A: 0.56 μB per formula unit